The following is a DFT calculation (PBE-GGA) of an optimized crystal structure of KCu3H.

Density of states at the Fermi level, states/eV per cell: 4.94
Crystal system: cubic
E, eV/atom: -1.35

Unit cell a=5.867 b=5.867 c=5.867 alpha=90.00 beta=90.00 gamma=90.00
Element x y z (fractional)
H (0.500, 0.500, 0.500)
K (0.000, 0.000, 0.000)
Cu (0.000, 0.500, 0.000)
Cu (0.000, 0.000, 0.500)
Cu (0.500, 0.000, 0.000)


The following is a DFT calculation (PBE-GGA) of an optimized crystal structure of K3CuH5.

Density of states at the Fermi level, states/eV per cell: 8.28
Crystal system: tetragonal
E, eV/atom: -2.73

Unit cell a=7.405 b=7.405 c=7.790 alpha=118.38 beta=118.38 gamma=90.00
Element x y z (fractional)
K (0.680, 0.180, 0.000)
K (0.320, 0.820, 0.000)
K (0.820, 0.680, 0.000)
K (0.180, 0.320, 0.000)
K (0.250, 0.250, 0.500)
K (0.750, 0.750, 0.500)
Cu (0.750, 0.250, 0.500)
Cu (0.250, 0.750, 0.500)
H (0.959, 0.459, 0.688)
H (0.728, 0.228, 0.688)
H (0.228, 0.959, 0.688)
H (0.459, 0.728, 0.688)
H (0.041, 0.541, 0.312)
H (0.272, 0.772, 0.312)
H (0.772, 0.041, 0.312)
H (0.541, 0.272, 0.312)
H (0.500, 0.500, 0.000)
H (0.000, 0.000, 0.000)


The following is a DFT calculation (PBE-GGA) of an optimized crystal structure of K3CuH4.

Density of states at the Fermi level, states/eV per cell: 0.00
Crystal system: orthorhombic
E, eV/atom: -2.73

Unit cell a=6.050 b=6.582 c=7.929 alpha=90.00 beta=90.00 gamma=90.00
Element x y z (fractional)
K (0.517, 0.931, 0.000)
K (0.015, 0.653, 0.228)
K (0.515, 0.347, 0.272)
K (0.017, 0.069, 0.500)
K (0.515, 0.347, 0.728)
K (0.015, 0.653, 0.772)
Cu (0.000, 0.195, 0.000)
Cu (0.500, 0.805, 0.500)
H (0.987, 0.941, 0.000)
H (0.752, 0.307, 0.000)
H (0.115, 0.264, 0.180)
H (0.615, 0.736, 0.320)
H (0.252, 0.693, 0.500)
H (0.487, 0.059, 0.500)
H (0.615, 0.736, 0.680)
H (0.115, 0.264, 0.820)


The following is a DFT calculation (PBE-GGA) of an optimized crystal structure of KCuH.

Density of states at the Fermi level, states/eV per cell: 1.23
Crystal system: monoclinic
E, eV/atom: -2.79

Unit cell a=4.804 b=5.525 c=5.516 alpha=63.51 beta=90.02 gamma=90.03
Element x y z (fractional)
K (0.315, 0.822, 0.729)
K (0.815, 0.149, 0.055)
Cu (0.565, 0.466, 0.375)
Cu (0.066, 0.466, 0.375)
H (0.815, 0.220, 0.545)
H (0.816, 0.638, 0.129)